[1]
A plane-wave DFT calculation with GGA-PBE was carried out for an optimized crystal structure of TaTe3C.

Properties
uncorrected energy	-4.887	eV/atom
formation energy without anion corrections	1.213	eV per atom
ρ	9.26	g cm⁻³
calculated volume	103.3	Å³ per cell
energy above the lowest structure with this stoichiometry	0	meV/atom

Lattice parameters (Å, degrees): 4.692 4.692 4.692 90.00 90.00 90.00
Positions (direct):
Ta  0.000  0.000  0.000
Te  0.000  0.500  0.500
Te  0.500  0.000  0.500
Te  0.500  0.500  0.000
C  0.500  0.500  0.500

---

[2]
A plane-wave DFT calculation with GGA-PBE was carried out for an optimized crystal structure of InCu2Cl.

Properties
uncorrected energy	-3.148	eV/atom
formation energy without anion corrections	0.047	eV per atom
ρ	5.83	g cm⁻³
calculated volume	79.0	Å³ per cell
energy above the lowest structure with this stoichiometry	143	meV/atom

Lattice parameters (Å, degrees): 6.634 6.634 6.634 150.48 146.59 45.18
Positions (direct):
In  0.000  0.000  0.000
Cu  0.543  0.543  0.000
Cu  0.690  0.190  0.500
Cl  0.273  0.773  0.500